w | A plane-wave DFT calculation with GGA-PBEsol was carried out for a relaxed BeWBr2 crystal.

As for the size of the total moment: 0.0 μB/f.u. Its crystal system is tetragonal.

The space group is I-42d (No. 122) and the conventional cell measures 5.5305, 5.5305 and 9.8928 Å, with angles of 90.00, 90.00 and 90.00 degrees. The asymmetric unit holds Be at (0.0000, 0.0000, 0.0000), W at (0.0000, 0.0000, 0.5000) and Br at (0.2005, 0.7500, 0.1250).

x | A plane-wave DFT calculation with GGA-PBEsol was carried out for a relaxed BeWBr2 crystal.

As for the size of the total moment: 0.0 μB/f.u. Its crystal system is monoclinic.

The space group is Cm (No. 8) and the conventional cell measures 8.1051, 3.0703 and 7.5164 Å, with angles of 90.00, 102.65 and 90.00 degrees. The asymmetric unit holds Be at (0.0000, 0.0000, 0.0000), W at (0.2481, 0.5000, 0.0967), Br at (0.1559, 0.0000, 0.7988) and Br at (0.3378, 0.0000, 0.3646).

Calculated relative energies: w 731; x 0, given in meV per atom

w | A plane-wave DFT calculation with GGA-PBEsol was carried out for a relaxed BeW2Br crystal.

As for the size of the total moment: 0.0 μB/f.u. Its crystal system is orthorhombic.

The space group is Immm (No. 71) and the conventional cell measures 2.9644, 4.6015 and 8.8431 Å, with angles of 90.00, 90.00 and 90.00 degrees. The asymmetric unit holds Be at (0.0000, 0.0000, 0.0000), W at (0.0000, 0.5000, 0.2688) and Br at (0.0000, 0.0000, 0.5000).

x | A plane-wave DFT calculation with GGA-PBEsol was carried out for a relaxed BeW2Br crystal.

As for the size of the total moment: 0.0 μB/f.u. Its crystal system is orthorhombic.

The space group is Pmmm (No. 47) and the conventional cell measures 2.9389, 4.5183 and 4.6163 Å, with angles of 90.00, 90.00 and 90.00 degrees. The asymmetric unit holds Be at (0.0000, 0.0000, 0.0000), W at (0.0000, 0.5000, 0.5000), W at (0.5000, 0.5000, 0.0000) and Br at (0.5000, 0.0000, 0.5000).

Calculated relative energies: w 0; x 49, given in meV per atom

w | A plane-wave DFT calculation with GGA-PBEsol was carried out for a relaxed Y2BeBr crystal.

As for the size of the total moment: 0.0 μB/f.u. Its crystal system is tetragonal.

The space group is P4mm (No. 99) and the conventional cell measures 3.4614, 3.4614 and 8.7848 Å, with angles of 90.00, 90.00 and 90.00 degrees. The asymmetric unit holds Y at (0.0000, 0.0000, 0.0000), Y at (0.5000, 0.5000, 0.3006), Be at (0.0000, 0.0000, 0.4667) and Br at (0.5000, 0.5000, 0.8050).

x | A plane-wave DFT calculation with GGA-PBEsol was carried out for a relaxed Y2BeBr crystal.

As for the size of the total moment: 0.0 μB/f.u. Its crystal system is cubic.

The space group is Fm-3m (No. 225) and the conventional cell measures 7.0361, 7.0361 and 7.0361 Å, with angles of 90.00, 90.00 and 90.00 degrees. The asymmetric unit holds Y at (0.2500, 0.2500, 0.2500), Be at (0.0000, 0.0000, 0.0000) and Br at (0.0000, 0.0000, 0.5000).

Calculated relative energies: w 110; x 0, given in meV per atom

w | A plane-wave DFT calculation with GGA-PBEsol was carried out for a relaxed BeC3 crystal.

As for the size of the total moment: 0.0 μB/f.u. Its crystal system is hexagonal.

The space group is P6_3/mmc (No. 194) and the conventional cell measures 4.4633, 4.4633 and 5.0535 Å, with angles of 90.00, 90.00 and 120.00 degrees. The asymmetric unit holds Be at (0.3333, 0.6667, 0.2500) and C at (0.1230, 0.5615, 0.7500).

x | A plane-wave DFT calculation with GGA-PBEsol was carried out for a relaxed BeC3 crystal.

As for the size of the total moment: 0.0 μB/f.u. Its crystal system is orthorhombic.

The space group is Immm (No. 71) and the conventional cell measures 2.5031, 3.1187 and 7.8233 Å, with angles of 90.00, 90.00 and 90.00 degrees. The asymmetric unit holds Be at (0.0000, 0.0000, 0.0000), C at (0.0000, 0.0000, 0.5000) and C at (0.0000, 0.5000, 0.1309).

y | A plane-wave DFT calculation with GGA-PBEsol was carried out for a relaxed BeC3 crystal.

As for the size of the total moment: 0.0 μB/f.u. Its crystal system is orthorhombic.

The space group is Cmmm (No. 65) and the conventional cell measures 2.2767, 6.8741 and 5.0216 Å, with angles of 90.00, 90.00 and 90.00 degrees. The asymmetric unit holds Be at (0.0000, 0.0000, 0.0000), C at (0.0000, 0.0000, 0.5000) and C at (0.0000, 0.5000, 0.3012).

Calculated relative energies: w 0; x 937; y 665, given in meV per atom

w | A plane-wave DFT calculation with GGA-PBEsol was carried out for a relaxed Na2BeC crystal.

As for the size of the total moment: 0.2 μB/f.u. Its crystal system is cubic.

The space group is Fm-3m (No. 225) and the conventional cell measures 6.1369, 6.1369 and 6.1369 Å, with angles of 90.00, 90.00 and 90.00 degrees. The asymmetric unit holds Na at (0.2500, 0.2500, 0.2500), Be at (0.0000, 0.0000, 0.0000) and C at (0.0000, 0.0000, 0.5000).

x | A plane-wave DFT calculation with GGA-PBEsol was carried out for a relaxed Na2BeC crystal.

As for the size of the total moment: 0.0 μB/f.u. Its crystal system is tetragonal.

The space group is I4_1/amd (No. 141, origin choice 2) and the conventional cell measures 9.9047, 9.9047 and 3.3050 Å, with angles of 90.00, 90.00 and 90.00 degrees. The asymmetric unit holds Na at (0.0000, 0.0000, 0.0000), Be at (0.0000, 0.2500, 0.3750) and C at (0.0000, 0.2500, 0.8750).

Calculated relative energies: w 1184; x 0, given in meV per atom

w | A plane-wave DFT calculation with GGA-PBEsol was carried out for a relaxed Ca3Be crystal.

As for the size of the total moment: 0.0 μB/f.u. Its crystal system is tetragonal.

The space group is P4mm (No. 99) and the conventional cell measures 4.9375, 4.9375 and 4.8830 Å, with angles of 90.00, 90.00 and 90.00 degrees. The asymmetric unit holds Ca at (0.0000, 0.0000, 0.0000), Ca at (0.0000, 0.5000, 0.4991) and Be at (0.5000, 0.5000, 0.0065).

x | A plane-wave DFT calculation with GGA-PBEsol was carried out for a relaxed Ca3Be crystal.

As for the size of the total moment: 0.0 μB/f.u. Its crystal system is tetragonal.

The space group is P4/mmm (No. 123) and the conventional cell measures 3.6248, 3.6248 and 9.2099 Å, with angles of 90.00, 90.00 and 90.00 degrees. The asymmetric unit holds Ca at (0.0000, 0.0000, 0.0000), Ca at (0.5000, 0.5000, 0.3198) and Be at (0.0000, 0.0000, 0.5000).

Calculated relative energies: w 172; x 0, given in meV per atom